# BMo3F

Crystalline BMo3F at its relaxed geometry (GGA+U, Alexandria via LeMat-Bulk).

Unit cell a=4.1310 b=4.1310 c=4.1310 alpha=90.00 beta=90.00 gamma=90.00
Space group Pm-3m (No. 221)
Symmetry-distinct sites (fractional):
B: 0.0000 0.0000 0.0000
Mo: 0.0000 0.5000 0.5000
F: 0.5000 0.5000 0.5000

Summary:
* total energy: -21.3 eV for the cell shown
* calculated volume: 14.1 A^3/atom